(1)
Below is a relaxed structure of CaLaBiPt2, with properties calculated at the PBE level.

uncorrected energy = -4.45 eV per atom
total magnetic moment = 0.00 μB per formula unit

Lattice parameters (Å, degrees): 5.3184 6.0725 5.3184 90.00 90.00 90.00
Last column: nearest neighbours and their distance in Å.
Fractional coordinates of all 5 atoms:
Ca  0.5000  0.5000  0.5000  4 Bi 3.76, 8 Pt 4.04
Bi  0.0000  0.5000  0.0000  2 La 3.04
Pt  0.0000  0.0000  0.5000  2 La 2.66
Pt  0.5000  0.0000  0.0000  2 La 2.66
La  0.0000  0.0000  0.0000  4 Pt 2.66


(2)
Below is a relaxed structure of CaLaBiPt, with properties calculated at the PBE level.

uncorrected energy = -5.07 eV per atom
total magnetic moment = 0.00 μB per formula unit

Lattice parameters (Å, degrees): 5.3768 5.3768 5.3768 60.00 60.00 60.00
Last column: nearest neighbours and their distance in Å.
Fractional coordinates of all 4 atoms:
Ca  0.5000  0.5000  0.5000  4 Bi 3.29, 4 Pt 3.29
Bi  0.2500  0.2500  0.2500  4 La 3.29, 4 Ca 3.29
Pt  0.7500  0.7500  0.7500  4 La 3.29, 4 Ca 3.29
La  0.0000  0.0000  0.0000  4 Pt 3.29, 4 Bi 3.29


(3)
Below is a relaxed structure of Ca2LaBiRu, with properties calculated at the PBE level.

uncorrected energy = -4.77 eV per atom
total magnetic moment = 0.00 μB per formula unit

Lattice parameters (Å, degrees): 5.4829 5.4829 5.2310 90.00 90.00 90.00
Last column: nearest neighbours and their distance in Å.
Fractional coordinates of all 5 atoms:
Ru  0.0000  0.0000  0.0000  2 La 2.62, 4 Ca 2.74
Ca  0.0000  0.5000  0.0000  2 Ru 2.74
Ca  0.5000  0.0000  0.0000  2 Ru 2.74
Bi  0.5000  0.5000  0.5000  8 Ca 3.79, 4 La 3.88
La  0.0000  0.0000  0.5000  2 Ru 2.62


(4)
Below is a relaxed structure of CaLa2SmBi4, with properties calculated at the PBE level.

uncorrected energy = -4.92 eV per atom
total magnetic moment = 0.00 μB per formula unit

Lattice parameters (Å, degrees): 4.6700 7.9746 8.1204 70.29 90.00 90.00
Last column: nearest neighbours and their distance in Å.
Fractional coordinates of all 8 atoms:
Ca  0.0000  0.5000  0.5000  6 Bi 3.28
La  0.0000  0.0000  0.0000  6 Bi 3.30-3.31
La  0.5000  0.0000  0.5000  6 Bi 3.33
Sm  0.5000  0.5000  0.0000  6 Bi 3.25
Bi  0.0000  0.7432  0.7543  2 Sm 3.25, 1 Ca 3.28, 3 La 3.31-3.33
Bi  0.0000  0.2568  0.2457  2 Sm 3.25, 1 Ca 3.28, 3 La 3.31-3.33
Bi  0.5000  0.7452  0.2491  1 Sm 3.25, 2 Ca 3.28, 3 La 3.30-3.33
Bi  0.5000  0.2548  0.7509  1 Sm 3.25, 2 Ca 3.28, 3 La 3.30-3.33


(5)
Below is a relaxed structure of CaLaSm2Bi4, with properties calculated at the PBE level.

uncorrected energy = -4.86 eV per atom
total magnetic moment = 0.00 μB per formula unit

Lattice parameters (Å, degrees): 4.5984 8.0689 7.9479 70.75 90.00 90.00
Last column: nearest neighbours and their distance in Å.
Fractional coordinates of all 8 atoms:
Ca  0.0000  0.5000  0.5000  6 Bi 3.29
La  0.5000  0.5000  0.0000  6 Bi 3.30
Sm  0.0000  0.0000  0.0000  6 Bi 3.24
Sm  0.5000  0.0000  0.5000  6 Bi 3.23
Bi  0.0000  0.7570  0.7462  3 Sm 3.23-3.24, 1 Ca 3.29, 2 La 3.30
Bi  0.0000  0.2430  0.2538  3 Sm 3.23-3.24, 1 Ca 3.29, 2 La 3.30
Bi  0.5000  0.7565  0.2490  3 Sm 3.23-3.24, 2 Ca 3.29, 1 La 3.30
Bi  0.5000  0.2435  0.7510  3 Sm 3.23-3.24, 2 Ca 3.29, 1 La 3.30


(6)
Below is a relaxed structure of SrCaLaBi2, with properties calculated at the PBE level.

uncorrected energy = -3.18 eV per atom
total magnetic moment = 0.56 μB per formula unit

Lattice parameters (Å, degrees): 5.9784 5.5362 5.9784 90.00 90.00 90.00
Last column: nearest neighbours and their distance in Å.
Fractional coordinates of all 5 atoms:
Sr  0.5000  0.5000  0.5000  8 Bi 4.07, 4 La 4.23
Ca  0.0000  0.0000  0.0000  2 La 2.77, 4 Bi 2.99
Bi  0.0000  0.0000  0.5000  2 Ca 2.99
Bi  0.5000  0.0000  0.0000  2 Ca 2.99
La  0.0000  0.5000  0.0000  2 Ca 2.77


(7)
Below is a relaxed structure of CaLaTb2Bi4, with properties calculated at the PBE level.

uncorrected energy = -4.82 eV per atom
total magnetic moment = 0.00 μB per formula unit

Lattice parameters (Å, degrees): 4.5615 8.0238 7.8822 70.83 90.00 90.00
Last column: nearest neighbours and their distance in Å.
Fractional coordinates of all 8 atoms:
Ca  0.5000  0.5000  0.0000  6 Bi 3.28-3.29
La  0.0000  0.5000  0.5000  6 Bi 3.30
Tb  0.0000  0.0000  0.0000  6 Bi 3.19
Tb  0.5000  0.0000  0.5000  6 Bi 3.20
Bi  0.0000  0.7609  0.7476  3 Tb 3.19-3.20, 2 Ca 3.29, 1 La 3.30
Bi  0.0000  0.2391  0.2524  3 Tb 3.19-3.20, 2 Ca 3.29, 1 La 3.30
Bi  0.5000  0.7614  0.2444  3 Tb 3.19-3.20, 1 Ca 3.28, 2 La 3.30
Bi  0.5000  0.2386  0.7556  3 Tb 3.19-3.20, 1 Ca 3.28, 2 La 3.30


(8)
Below is a relaxed structure of CaLa2TcBi, with properties calculated at the PBE level.

uncorrected energy = -5.50 eV per atom
total magnetic moment = 0.00 μB per formula unit

Lattice parameters (Å, degrees): 5.3354 5.3354 5.6208 90.00 90.00 90.00
Last column: nearest neighbours and their distance in Å.
Fractional coordinates of all 5 atoms:
Tc  0.0000  0.0000  0.0000  4 La 2.67, 2 Ca 2.81
Ca  0.0000  0.0000  0.5000  2 Tc 2.81
Bi  0.5000  0.5000  0.5000  4 Ca 3.77, 8 La 3.87
La  0.0000  0.5000  0.0000  2 Tc 2.67
La  0.5000  0.0000  0.0000  2 Tc 2.67